No. 1
! NdHo2I (PBE-GGA, optimized geometry); values from VASP
! Density (Mg/m³): 7.813
! Offset from the most stable computed form (meV/atom): 0
! Size of the total moment (μB/f.u.): 0.00
&SYSTEM
  ibrav = 0, nat = 4, ntyp = 3
/
ATOMIC_SPECIES
Nd 144.24 Nd.upf
Ho 164.93 Ho.upf
I 126.90 I.upf
CELL_PARAMETERS angstrom
-2.210 0.071 -3.021
-3.720 -0.150 0.398
-2.344 10.477 -0.358
ATOMIC_POSITIONS angstrom
Nd -4.137 5.200 -1.490
Ho -6.211 7.964 -2.228
Ho -2.063 2.435 -0.753
I 0.000 0.000 0.000

=====

No. 2
! SrPmZnN2 (PBE-GGA, optimized geometry); values from VASP
! Density (Mg/m³): 5.177
! Calculated total energy (eV per atom): -5.3907
! Size of the total moment (μB/f.u.): 0.00
&SYSTEM
  ibrav = 0, nat = 10, ntyp = 4
/
ATOMIC_SPECIES
Zn 65.41 Zn.upf
N 14.01 N.upf
Pm 145.00 Pm.upf
Sr 87.62 Sr.upf
CELL_PARAMETERS angstrom
-3.100 3.870 2.310
-2.344 -3.845 3.296
4.857 1.078 4.711
ATOMIC_POSITIONS angstrom
Zn 2.429 0.539 2.355
N -0.350 2.566 4.756
Pm -0.335 2.204 2.333
N -0.236 -1.463 5.560
Zn 0.000 0.000 0.000
Sr 2.470 -1.113 5.182
Sr -3.056 2.215 5.135
N 3.538 1.283 6.024
Pm 2.093 2.744 4.688
N -4.124 -0.180 4.293

=====

No. 3
! Sr3CeAl8 (PBE-GGA, optimized geometry); values from VASP
! Density (Mg/m³): 3.736
! Formation energy from the elements (eV/atom): -0.29
! Offset from the most stable computed form (meV/atom): 0
! Size of the total moment (μB/f.u.): 0.76
&SYSTEM
  ibrav = 0, nat = 12, ntyp = 3
/
ATOMIC_SPECIES
Al 26.98 Al.upf
Sr 87.62 Sr.upf
Ce 140.12 Ce.upf
CELL_PARAMETERS angstrom
5.786 0.000 0.000
2.893 5.011 0.000
2.893 1.670 9.489
ATOMIC_POSITIONS angstrom
Al 2.893 1.670 4.143
Al 8.679 3.363 6.474
Al 4.346 2.509 1.832
Sr 5.786 3.340 4.733
Al 8.679 5.011 8.887
Al 10.105 5.834 6.474
Al 5.786 5.003 1.832
Sr 8.679 5.011 0.010
Al 7.252 5.834 6.474
Al 7.225 2.509 1.832
Ce 8.679 5.011 3.564
Sr 5.786 3.340 8.303

=====

No. 4
! HgSbRh2 (PBE-GGA, optimized geometry); values from VASP
! Density (Mg/m³): 11.619
! Offset from the most stable computed form (meV/atom): 35
! Size of the total moment (μB/f.u.): 0.00
&SYSTEM
  ibrav = 0, nat = 4, ntyp = 3
/
ATOMIC_SPECIES
Sb 121.76 Sb.upf
Rh 102.91 Rh.upf
Hg 200.59 Hg.upf
CELL_PARAMETERS angstrom
1.650 3.897 0.003
-1.650 3.897 0.003
0.000 1.344 5.871
ATOMIC_POSITIONS angstrom
Sb 0.000 3.897 0.003
Rh 0.000 2.954 4.598
Hg 0.000 0.672 2.936
Rh 0.000 6.186 1.278

=====

No. 5
! TaTi4Os (PBE-GGA, optimized geometry); values from VASP
! Density (Mg/m³): 9.488
! Formation energy from the elements (eV/atom): -0.26
! Offset from the most stable computed form (meV/atom): 0
! Size of the total moment (μB/f.u.): 0.00
&SYSTEM
  ibrav = 0, nat = 6, ntyp = 3
/
ATOMIC_SPECIES
Os 190.23 Os.upf
Ti 47.87 Ti.upf
Ta 180.95 Ta.upf
CELL_PARAMETERS angstrom
4.124 0.000 1.797
1.384 4.486 2.453
0.123 -0.071 5.347
ATOMIC_POSITIONS angstrom
Os 0.000 0.000 0.000
Ti 2.838 4.453 4.747
Ta 0.754 2.207 3.900
Ti 2.135 2.359 6.359
Ti 2.793 -0.038 4.850
Ti 3.496 2.056 3.238

=====

No. 6
! TcIr3 (PBE-GGA, optimized geometry); values from VASP
! Density (Mg/m³): 19.363
! Formation energy from the elements (eV/atom): -0.16
! Size of the total moment (μB/f.u.): 0.00
&SYSTEM
  ibrav = 0, nat = 8, ntyp = 2
/
ATOMIC_SPECIES
Ir 192.22 Ir.upf
Tc 98.00 Tc.upf
CELL_PARAMETERS angstrom
5.514 0.000 0.000
-2.757 4.775 0.000
0.000 0.000 4.395
ATOMIC_POSITIONS angstrom
Ir -1.374 3.977 3.296
Ir 4.131 0.798 1.099
Ir 1.383 0.798 1.099
Ir 1.374 3.977 3.296
Tc 0.000 3.183 1.099
Tc 2.757 1.592 3.296
Ir 2.757 3.178 1.099
Ir 0.000 1.596 3.296

=====

No. 7
! Pr8GeP3Cl4 (PBE-GGA, optimized geometry); values from VASP
! Density (Mg/m³): 5.533
! Calculated total energy (eV per atom): -5.6811
! Size of the total moment (μB/f.u.): 0.00
&SYSTEM
  ibrav = 0, nat = 16, ntyp = 4
/
ATOMIC_SPECIES
Pr 140.91 Pr.upf
Cl 35.45 Cl.upf
P 30.97 P.upf
Ge 72.64 Ge.upf
CELL_PARAMETERS angstrom
8.399 0.000 0.000
0.000 8.555 0.105
-4.200 -4.196 5.941
ATOMIC_POSITIONS angstrom
Pr 0.000 4.103 2.965
Cl 2.100 -2.098 2.971
P 4.200 4.277 0.052
Pr -2.052 2.052 5.868
Pr 4.200 0.255 3.081
Cl 4.200 0.000 0.000
Cl -2.100 -2.098 2.971
Pr 2.052 2.052 5.868
Pr 4.200 4.109 2.902
Pr 6.252 2.306 0.178
P -2.100 2.179 3.023
Ge 0.000 4.277 0.052
Pr 0.000 0.249 3.144
Cl 0.000 0.000 0.000
Pr 2.147 2.306 0.178
P 2.100 2.179 3.023

=====

No. 8
! LaPr4Dy6 (PBE-GGA, optimized geometry); values from VASP
! Density (Mg/m³): 7.272
! Formation energy from the elements (eV/atom): 0.15
! Offset from the most stable computed form (meV/atom): 0
! Size of the total moment (μB/f.u.): 0.00
&SYSTEM
  ibrav = 0, nat = 11, ntyp = 3
/
ATOMIC_SPECIES
Dy 162.50 Dy.upf
Pr 140.91 Pr.upf
La 138.91 La.upf
CELL_PARAMETERS angstrom
3.570 0.000 0.000
0.000 11.130 0.000
0.000 -5.565 9.639
ATOMIC_POSITIONS angstrom
Dy 1.785 -2.711 7.991
Pr 1.785 5.565 5.831
La 0.000 0.000 0.000
Pr 1.785 7.832 1.904
Pr 1.785 3.298 1.904
Pr 0.000 0.000 6.426
Dy 0.000 2.721 4.855
Dy 1.785 2.711 7.991
Dy 1.785 0.000 3.295
Dy 0.000 -2.721 4.855
Dy 0.000 0.000 9.568

=====

No. 9
! LaPr5Dy2 (PBE-GGA, optimized geometry); values from VASP
! Density (Mg/m³): 6.840
! Formation energy from the elements (eV/atom): 0.03
! Offset from the most stable computed form (meV/atom): 20
! Size of the total moment (μB/f.u.): 0.00
&SYSTEM
  ibrav = 0, nat = 8, ntyp = 3
/
ATOMIC_SPECIES
La 138.91 La.upf
Dy 162.50 Dy.upf
Pr 140.91 Pr.upf
CELL_PARAMETERS angstrom
-2.711 0.466 -2.387
-5.602 -8.860 4.634
1.065 8.420 3.212
ATOMIC_POSITIONS angstrom
La 0.000 0.000 0.000
Dy -4.389 -2.261 4.544
Pr -0.983 5.150 2.121
Pr -2.801 -4.430 2.317
Pr -6.266 -5.124 3.338
Pr -3.682 -1.038 1.201
Pr -3.567 1.063 4.259
Dy -2.859 2.287 0.916

=====

No. 10
! Pa8InOs6 (PBE-GGA, optimized geometry); values from VASP
! Density (Mg/m³): 14.803
! Formation energy from the elements (eV/atom): -0.18
! Size of the total moment (μB/f.u.): 0.00
&SYSTEM
  ibrav = 0, nat = 15, ntyp = 3
/
ATOMIC_SPECIES
Pa 231.04 Pa.upf
Os 190.23 Os.upf
In 114.82 In.upf
CELL_PARAMETERS angstrom
3.891 0.000 0.000
0.000 10.166 0.000
0.000 -5.083 8.804
ATOMIC_POSITIONS angstrom
Pa 0.915 2.989 0.472
Pa 0.915 3.998 5.979
Pa 2.975 -3.179 6.452
Os 1.000 5.838 0.847
Os 1.000 6.514 4.633
Pa 2.894 5.083 2.935
Pa 0.996 0.000 5.870
In 1.945 0.000 0.000
Os 2.890 2.186 5.480
Os 2.890 -1.431 4.172
Pa 0.915 8.263 2.353
Pa 2.975 2.094 8.332
Pa 2.975 1.086 2.825
Os 1.000 2.897 3.325
Os 2.890 -0.755 7.957

=====

No. 11
! PaNi2As2 (PBE-GGA, optimized geometry); values from VASP
! Density (Mg/m³): 10.204
! Formation energy from the elements (eV/atom): -0.68
! Size of the total moment (μB/f.u.): 0.00
&SYSTEM
  ibrav = 0, nat = 10, ntyp = 3
/
ATOMIC_SPECIES
Ni 58.69 Ni.upf
As 74.92 As.upf
Pa 231.04 Pa.upf
CELL_PARAMETERS angstrom
-0.784 -3.803 -1.754
3.504 -1.573 1.844
-4.809 -2.312 7.164
ATOMIC_POSITIONS angstrom
Ni 0.000 0.000 0.000
As -1.045 -3.844 3.627
Pa -1.880 -2.533 6.332
Pa -1.569 -2.468 0.877
Ni -0.105 -1.680 3.689
As 1.131 -1.085 1.847
Ni -3.344 -3.321 3.520
As -2.404 -1.156 3.582
Ni 1.360 -2.688 0.045
As -4.580 -3.915 5.362

=====

No. 12
! Zn5Cu2Ni12 (PBE-GGA, optimized geometry); values from VASP
! Density (Mg/m³): 8.441
! Formation energy from the elements (eV/atom): -0.01
! Size of the total moment (μB/f.u.): 0.00
&SYSTEM
  ibrav = 0, nat = 19, ntyp = 3
/
ATOMIC_SPECIES
Ni 58.69 Ni.upf
Cu 63.55 Cu.upf
Zn 65.41 Zn.upf
CELL_PARAMETERS angstrom
6.721 0.000 0.000
-3.361 5.577 0.848
0.000 -0.966 5.933
ATOMIC_POSITIONS angstrom
Ni 4.673 0.728 4.099
Cu 2.120 0.000 0.000
Zn 0.000 -0.483 2.966
Ni 2.048 0.728 4.099
Zn 0.000 3.324 0.540
Ni 1.312 3.882 2.682
Ni 2.124 3.156 5.034
Ni 0.000 4.294 4.709
Ni 1.237 1.455 1.747
Cu 4.601 0.000 0.000
Ni 0.000 0.119 5.421
Ni 3.361 0.316 2.071
Zn 0.000 2.068 3.836
Zn 3.361 1.287 6.241
Ni -1.312 3.882 2.682
Ni 3.361 4.492 1.360
Ni 5.485 1.455 1.747
Ni -2.124 3.156 5.034
Zn 3.361 2.542 2.945

=====

No. 13
! MgTiSe2 (PBE-GGA, optimized geometry); values from VASP
! Density (Mg/m³): 3.604
! Calculated total energy (eV per atom): -4.9499
! Size of the total moment (μB/f.u.): 2.00
&SYSTEM
  ibrav = 0, nat = 8, ntyp = 3
/
ATOMIC_SPECIES
Ti 47.87 Ti.upf
Se 78.96 Se.upf
Mg 24.30 Mg.upf
CELL_PARAMETERS angstrom
5.994 0.000 0.000
0.000 5.994 0.000
2.997 2.997 5.903
ATOMIC_POSITIONS angstrom
Ti 0.000 0.000 0.000
Se 1.468 4.495 1.476
Mg 2.997 2.997 0.000
Se 7.492 7.522 4.427
Se 4.525 1.498 1.476
Se 4.495 4.465 4.427
Mg 2.997 5.994 2.952
Ti 5.994 2.997 2.952

=====

No. 14
! Tm4ScAl2 (PBE-GGA, optimized geometry); values from VASP
! Density (Mg/m³): 6.317
! Formation energy from the elements (eV/atom): 0.11
! Offset from the most stable computed form (meV/atom): 286
! Size of the total moment (μB/f.u.): 0.00
&SYSTEM
  ibrav = 0, nat = 7, ntyp = 3
/
ATOMIC_SPECIES
Sc 44.96 Sc.upf
Al 26.98 Al.upf
Tm 168.93 Tm.upf
CELL_PARAMETERS angstrom
-4.603 -1.018 1.560
-0.754 -1.578 4.648
-2.800 8.161 4.969
ATOMIC_POSITIONS angstrom
Sc -4.079 2.783 5.588
Al -3.780 0.126 4.735
Al -4.377 5.439 6.442
Tm -6.257 5.408 8.779
Tm -2.468 5.205 4.019
Tm -5.690 0.360 7.157
Tm -1.901 0.157 2.398

=====

No. 15
! Sm2CdNi3As4 (PBE-GGA, optimized geometry); values from VASP
! Density (Mg/m³): 8.117
! Formation energy from the elements (eV/atom): -0.66
! Size of the total moment (μB/f.u.): 0.00
&SYSTEM
  ibrav = 0, nat = 10, ntyp = 4
/
ATOMIC_SPECIES
Ni 58.69 Ni.upf
As 74.92 As.upf
Sm 150.36 Sm.upf
Cd 112.41 Cd.upf
CELL_PARAMETERS angstrom
-0.022 4.244 0.242
-2.271 -0.216 3.586
8.507 -0.264 5.372
ATOMIC_POSITIONS angstrom
Ni 4.253 -0.132 2.686
As 0.000 0.000 0.000
As 1.781 -0.199 3.635
Sm 1.965 2.061 1.369
Sm 5.396 -0.311 5.918
As -1.147 2.014 1.914
Ni -0.203 -0.137 2.382
Ni 7.563 1.887 4.904
As 5.580 1.949 3.652
Cd 3.107 1.882 4.600

=====

No. 16
! Lu3Sb (PBE-GGA, optimized geometry); values from VASP
! Density (Mg/m³): 9.903
! Offset from the most stable computed form (meV/atom): 0
! Size of the total moment (μB/f.u.): 0.00
&SYSTEM
  ibrav = 0, nat = 4, ntyp = 2
/
ATOMIC_SPECIES
Lu 174.97 Lu.upf
Sb 121.76 Sb.upf
CELL_PARAMETERS angstrom
-3.751 -1.393 -0.207
1.455 -4.249 2.241
0.075 4.994 3.800
ATOMIC_POSITIONS angstrom
Lu 0.015 -0.571 3.583
Lu -1.268 -2.469 0.832
Sb 1.335 -3.900 2.056
Lu -2.480 0.638 1.875

=====

No. 17
! Nb2AgSn (PBE-GGA, optimized geometry); values from VASP
! Density (Mg/m³): 8.360
! Formation energy from the elements (eV/atom): 0.49
! Size of the total moment (μB/f.u.): 0.00
&SYSTEM
  ibrav = 0, nat = 8, ntyp = 3
/
ATOMIC_SPECIES
Ag 107.87 Ag.upf
Nb 92.91 Nb.upf
Sn 118.71 Sn.upf
CELL_PARAMETERS angstrom
-2.062 -3.848 -6.240
6.389 2.235 -3.490
3.497 -3.099 -3.892
ATOMIC_POSITIONS angstrom
Ag 2.163 -0.807 -4.865
Nb 4.260 -2.924 -6.576
Sn 1.799 -3.877 -7.498
Ag 6.025 -0.835 -6.124
Nb 6.394 -3.741 -11.424
Nb 4.605 0.132 -3.949
Sn 0.000 0.000 0.000
Nb 0.389 -2.892 -5.295

=====

No. 18
! CrNi3As (PBE-GGA, optimized geometry); values from VASP
! Density (Mg/m³): 6.278
! Formation energy from the elements (eV/atom): 0.54
! Offset from the most stable computed form (meV/atom): 0
! Size of the total moment (μB/f.u.): 4.45
&SYSTEM
  ibrav = 0, nat = 5, ntyp = 3
/
ATOMIC_SPECIES
Ni 58.69 Ni.upf
Cr 52.00 Cr.upf
As 74.92 As.upf
CELL_PARAMETERS angstrom
4.311 0.000 0.000
0.000 4.311 0.000
0.000 0.000 4.311
ATOMIC_POSITIONS angstrom
Ni 2.156 0.000 0.000
Ni 0.000 2.156 0.000
Cr 2.156 2.156 2.156
Ni 0.000 0.000 2.156
As 0.000 0.000 0.000

=====

No. 19
! RbWS2Cl (PBE-GGA, optimized geometry); values from VASP
! Density (Mg/m³): 5.238
! Offset from the most stable computed form (meV/atom): 0
! Size of the total moment (μB/f.u.): 0.73
&SYSTEM
  ibrav = 0, nat = 5, ntyp = 4
/
ATOMIC_SPECIES
W 183.84 W.upf
S 32.06 S.upf
Cl 35.45 Cl.upf
Rb 85.47 Rb.upf
CELL_PARAMETERS angstrom
4.707 0.000 0.000
0.000 4.707 0.000
0.000 0.000 5.278
ATOMIC_POSITIONS angstrom
W 0.000 0.000 0.000
S 2.354 0.000 0.000
Cl 0.000 0.000 2.639
Rb 2.354 2.354 2.639
S 0.000 2.354 0.000

=====

No. 20
! Rb2Ba4Zn (PBE-GGA, optimized geometry); values from VASP
! Density (Mg/m³): 2.587
! Formation energy from the elements (eV/atom): 0.11
! Size of the total moment (μB/f.u.): 0.00
&SYSTEM
  ibrav = 0, nat = 7, ntyp = 3
/
ATOMIC_SPECIES
Rb 85.47 Rb.upf
Ba 137.33 Ba.upf
Zn 65.41 Zn.upf
CELL_PARAMETERS angstrom
-2.102 -2.708 5.651
-2.090 -5.316 -3.324
8.224 -8.980 2.621
ATOMIC_POSITIONS angstrom
Rb 1.106 -5.553 1.615
Ba -1.248 -9.441 2.742
Zn 0.000 0.000 0.000
Ba -1.051 -1.354 2.825
Ba 5.280 -7.563 2.205
Rb 2.926 -11.450 3.332
Ba -1.045 -2.658 -1.662